1.
The following is a meta-GGA SCAN calculation of a PBEsol-optimized structure of Mn2TeO6, from Alexandria via LeMat-Bulk.

The structure in POSCAR format:
```
Mn2TeO6
1.0
4.563 0.000 0.000
0.000 4.563 0.000
0.000 0.000 9.082
Mn O Te
4 12 2
direct
0.500 0.500 0.332
0.000 0.000 0.168
0.500 0.500 0.668
0.000 0.000 0.832
0.198 0.198 0.677
0.198 0.198 0.323
0.817 0.817 0.000
0.183 0.183 0.000
0.698 0.302 0.177
0.698 0.302 0.823
0.683 0.317 0.500
0.302 0.698 0.823
0.802 0.802 0.323
0.317 0.683 0.500
0.302 0.698 0.177
0.802 0.802 0.677
0.500 0.500 0.000
0.000 0.000 0.500
```

Computed properties:
- uncorrected formation energy (eV/atom) = -1.70
- space-group type = P4_2/mnm (136)
- uncorrected energy (eV per atom) = -14.05


2.
The following is a meta-GGA SCAN calculation of a PBEsol-optimized structure of Mn3TeO8, from Alexandria via LeMat-Bulk.

The structure in POSCAR format:
```
Mn3TeO8
1.0
5.678 0.000 0.000
-2.839 4.917 0.000
0.000 0.000 9.637
Mn O Te
6 16 2
direct
0.832 0.168 0.785
0.168 0.337 0.285
0.168 0.832 0.285
0.832 0.663 0.785
0.663 0.832 0.285
0.337 0.168 0.785
0.685 0.842 0.894
0.158 0.315 0.894
0.029 0.514 0.174
0.667 0.333 0.886
0.486 0.514 0.174
0.158 0.842 0.894
0.486 0.971 0.174
0.971 0.486 0.674
0.315 0.158 0.394
0.000 0.000 0.189
0.842 0.685 0.394
0.000 0.000 0.689
0.842 0.158 0.394
0.514 0.486 0.674
0.514 0.029 0.674
0.333 0.667 0.386
0.667 0.333 0.508
0.333 0.667 0.008
```

Computed properties:
- uncorrected formation energy (eV/atom) = -1.75
- space-group type = P6_3mc (186)
- uncorrected energy (eV per atom) = -13.57


3.
The following is a meta-GGA SCAN calculation of a PBEsol-optimized structure of Mn3TeO8, from Alexandria via LeMat-Bulk.

The structure in POSCAR format:
```
Mn3TeO8
1.0
5.766 0.000 -0.151
0.000 5.881 0.000
-2.659 -2.940 4.184
O Mn Te
8 3 1
direct
0.222 0.757 0.514
0.767 0.733 0.466
0.257 0.243 0.965
0.743 0.277 0.035
0.233 0.267 0.534
0.778 0.243 0.486
0.743 0.757 0.035
0.257 0.723 0.965
0.000 0.500 0.500
0.000 0.000 0.500
0.500 0.500 0.000
0.500 0.000 0.000
```

Computed properties:
- uncorrected formation energy (eV/atom) = -1.64
- space-group type = R-3m (166)
- uncorrected energy (eV per atom) = -13.46


4.
The following is a meta-GGA SCAN calculation of a PBEsol-optimized structure of Mn3TeO6, from Alexandria via LeMat-Bulk.

The structure in POSCAR format:
```
Mn3TeO6
1.0
5.335 0.000 0.000
2.668 4.621 0.000
2.668 1.540 4.532
Te O Mn
1 6 3
direct
0.857 0.857 0.430
0.450 0.019 0.748
0.305 0.496 0.273
0.019 0.784 0.748
0.496 0.925 0.273
0.925 0.305 0.273
0.784 0.450 0.748
0.154 0.154 0.538
0.644 0.644 0.068
0.366 0.366 0.901
```

Computed properties:
- uncorrected formation energy (eV/atom) = -1.74
- space-group type = R3 (146)
- offset from the most stable computed form (eV/atom) = 0.0020
- uncorrected energy (eV per atom) = -14.68